VASP calculation (GGA-PBE) on crystalline DyPuMgSn at its relaxed geometry.

Calculated values
**Energy of formation**: -0.24 eV per atom
**N(E_F)**: 9.657 states/eV per cell
**Calculated density**: 8.6 Mg/m³
**Total energy**: -6.369 eV/atom

Cell lengths 5.3169, 5.3169, 5.3169 Å; angles 60.00, 60.00, 60.00 degrees
Last column: nearest neighbours and their distance in Å.
Positions (direct):
Dy 0.0000 0.0000 0.0000  4 Sn 3.26, 4 Mg 3.26
Pu 0.5000 0.5000 0.5000  4 Sn 3.26, 4 Mg 3.26
Mg 0.7500 0.7500 0.7500  4 Dy 3.26, 4 Pu 3.26
Sn 0.2500 0.2500 0.2500  4 Dy 3.26, 4 Pu 3.26

---

VASP calculation (GGA-PBE) on crystalline Li2TiSi at its relaxed geometry.

Calculated values
**N(E_F)**: 4.994 states/eV per cell
**ΔE_f (raw)**: -0.0381 eV/atom
**Calculated density**: 2.3 Mg/m³
**Total energy**: -4.324 eV/atom

Cell lengths 10.2652, 10.2652, 10.2652 Å; angles 159.78, 159.78, 28.75 degrees
Last column: nearest neighbours and their distance in Å.
Positions (direct):
Li 0.0988 0.6250 0.9738  4 Li 2.42-2.69
Li 0.3750 0.3488 0.4738  4 Li 2.42-2.69
Li 0.6512 0.1250 0.0262  4 Li 2.42-2.69
Li 0.8750 0.9012 0.5262  4 Li 2.42-2.69
Ti 0.2500 0.7500 0.5000  4 Si 2.55, 4 Li 2.83
Ti 0.5000 0.5000 0.0000  4 Si 2.55, 4 Li 2.83
Si 0.0000 0.0000 0.0000  4 Ti 2.55, 4 Li 2.76
Si 0.7500 0.2500 0.5000  4 Ti 2.55, 4 Li 2.76

---

VASP calculation (GGA-PBE) on crystalline Sc3PaTl3S8 at its relaxed geometry.

Calculated values
**N(E_F)**: 7.144 states/eV per cell
**ΔE_f (raw)**: -1.4184 eV/atom
**Calculated density**: 5.3 Mg/m³
**Total energy**: -5.992 eV/atom

Cell lengths 8.8352, 8.8352, 8.8352 Å; angles 51.29, 51.29, 51.29 degrees
Last column: nearest neighbours and their distance in Å.
Positions (direct):
Sc 0.0000 0.5000 0.5000  6 S 2.61-2.62
Sc 0.5000 0.0000 0.5000  6 S 2.61-2.62
Sc 0.5000 0.5000 0.0000  6 S 2.61-2.62
Pa 0.0000 0.0000 0.0000  6 S 2.68
Tl 0.0000 0.0000 0.5000  6 S 3.26-3.28
Tl 0.0000 0.5000 0.0000  6 S 3.26-3.28
Tl 0.5000 0.0000 0.0000  6 S 3.26-3.28
S 0.2336 0.2336 0.7217  2 Sc 2.62, 1 Pa 2.68
S 0.2336 0.7217 0.2336  2 Sc 2.62, 1 Pa 2.68
S 0.2725 0.2725 0.2725  3 Sc 2.61
S 0.2783 0.7664 0.7664  2 Sc 2.62, 1 Pa 2.68
S 0.7217 0.2336 0.2336  2 Sc 2.62, 1 Pa 2.68
S 0.7275 0.7275 0.7275  3 Sc 2.61
S 0.7664 0.2783 0.7664  2 Sc 2.62, 1 Pa 2.68
S 0.7664 0.7664 0.2783  2 Sc 2.62, 1 Pa 2.68

---

VASP calculation (GGA-PBE) on crystalline TbHgPbBr6 at its relaxed geometry.

Calculated values
**N(E_F)**: 4.949 states/eV per cell
**ΔE_f (raw)**: -1.1345 eV/atom
**Calculated density**: 5.2 Mg/m³
**Total energy**: -3.210 eV/atom

Cell lengths 7.5365, 7.5365, 6.7915 Å; angles 90.00, 90.00, 120.00 degrees
Last column: nearest neighbours and their distance in Å.
Positions (direct):
Tb 0.0000 0.0000 0.0000  6 Br 2.83
Hg 0.6667 0.3333 0.5000  6 Br 3.19
Pb 0.3333 0.6667 0.0000  6 Br 3.04
Br 0.0084 0.3118 0.7602  1 Tb 2.83, 1 Pb 3.04
Br 0.0084 0.6965 0.2398  1 Tb 2.83, 1 Pb 3.04
Br 0.3035 0.3118 0.2398  1 Tb 2.83, 1 Pb 3.04
Br 0.3035 0.9916 0.7602  1 Tb 2.83, 1 Pb 3.04
Br 0.6882 0.6965 0.7602  1 Tb 2.83, 1 Pb 3.04
Br 0.6882 0.9916 0.2398  1 Tb 2.83, 1 Pb 3.04

---

VASP calculation (GGA-PBE) on crystalline Ba3Li2Au at its relaxed geometry.

Calculated values
**Energy of formation**: -0.25 eV per atom
**N(E_F)**: 22.299 states/eV per cell
**Calculated density**: 4.2 Mg/m³
**Total energy**: -2.394 eV/atom

Cell lengths 14.2013, 4.8308, 14.1909 Å; angles 90.00, 90.00, 90.00 degrees
Last column: nearest neighbours and their distance in Å.
Positions (direct):
Ba 0.0537 0.2500 0.1313  1 Au 3.56, 4 Li 3.63-3.89
Ba 0.1124 0.7500 0.5534  3 Au 3.47-3.52, 5 Li 3.48-3.65
Ba 0.2243 0.2500 0.7922  3 Li 3.46-3.66, 2 Au 3.46
Ba 0.2757 0.7500 0.2922  3 Li 3.46-3.66, 2 Au 3.46
Ba 0.3876 0.2500 0.0534  3 Au 3.47-3.52, 5 Li 3.48-3.65
Ba 0.4463 0.7500 0.6313  1 Au 3.56, 4 Li 3.63-3.89
Ba 0.5537 0.2500 0.3687  1 Au 3.56, 4 Li 3.63-3.89
Ba 0.6124 0.7500 0.9466  3 Au 3.47-3.52, 5 Li 3.48-3.65
Ba 0.7243 0.2500 0.7078  3 Li 3.46-3.66, 2 Au 3.46
Ba 0.7757 0.7500 0.2078  3 Li 3.46-3.66, 2 Au 3.46
Ba 0.8876 0.2500 0.4466  3 Au 3.47-3.52, 5 Li 3.48-3.65
Ba 0.9463 0.7500 0.8687  1 Au 3.56, 4 Li 3.63-3.89
Li 0.0339 0.7500 0.3210  2 Au 2.81
Li 0.2119 0.7500 0.9858  1 Au 2.87
Li 0.2881 0.2500 0.4858  1 Au 2.87
Li 0.4661 0.2500 0.8210  2 Au 2.81
Li 0.5339 0.7500 0.1790  2 Au 2.81
Li 0.7119 0.7500 0.5142  1 Au 2.87
Li 0.7881 0.2500 0.0142  1 Au 2.87
Li 0.9661 0.2500 0.6790  2 Au 2.81
Au 0.1208 0.2500 0.3729  3 Li 2.81-2.87
Au 0.3792 0.7500 0.8729  3 Li 2.81-2.87
Au 0.6208 0.2500 0.1271  3 Li 2.81-2.87
Au 0.8792 0.7500 0.6271  3 Li 2.81-2.87